[1]
SrCdSn2Ir | GGA-PBE | relaxed

Output
Space-group type: No. 129

Cell lengths 4.6906, 4.6906, 11.5167 Å; angles 90.00, 90.00, 90.00 degrees
Fractional positions:
Sr 0.5000 0.0000 0.7360
Sr 0.0000 0.5000 0.2640
Sn 0.5000 0.0000 0.1594
Sn 0.0000 0.5000 0.8406
Sn 0.0000 0.0000 0.5000
Sn 0.5000 0.5000 0.5000
Ir 0.5000 0.0000 0.3853
Ir 0.0000 0.5000 0.6147
Cd 0.5000 0.5000 0.0000
Cd 0.0000 0.0000 0.0000

---

[2]
SrCdIr | GGA-PBE | relaxed

Output
Space-group type: No. 216

Cell lengths 4.9574, 4.9574, 4.9574 Å; angles 60.00, 60.00, 60.00 degrees
Fractional positions:
Ir 0.7500 0.7500 0.7500
Sr 0.0000 0.0000 0.0000
Cd 0.2500 0.2500 0.2500

---

[3]
SrCd2Ir | GGA-PBE | relaxed

Output
Space-group type: No. 216

Cell lengths 5.0139, 5.0139, 5.0139 Å; angles 60.00, 60.00, 60.00 degrees
Fractional positions:
Sr 0.5000 0.5000 0.5000
Ir 0.2500 0.2500 0.2500
Cd 0.0000 0.0000 0.0000
Cd 0.7500 0.7500 0.7500

---

[4]
SrCdIr | GGA-PBE | relaxed

Output
Space-group type: No. 216

Cell lengths 4.8319, 4.8319, 4.8319 Å; angles 60.00, 60.00, 60.00 degrees
Fractional positions:
Sr 0.7500 0.7500 0.7500
Ir 0.0000 0.0000 0.0000
Cd 0.2500 0.2500 0.2500

---

[5]
SrCdIr2 | GGA-PBE | relaxed

Output
Space-group type: No. 216

Cell lengths 4.8185, 4.8185, 4.8185 Å; angles 60.00, 60.00, 60.00 degrees
Each line ends with the local moment (μB).
Fractional positions:
Sr 0.7500 0.7500 0.7500  0.00
Ir 0.2500 0.2500 0.2500  0.48
Ir 0.0000 0.0000 0.0000  0.74
Cd 0.5000 0.5000 0.5000  0.00

---

[6]
TaCd2Ir | GGA-PBE | relaxed

Output
Space-group type: No. 216
ΔH_f (0 K) (meV/atom): 88.1

Cell lengths 4.6392, 4.6392, 4.6392 Å; angles 60.00, 60.00, 60.00 degrees
Fractional positions:
Cd 0.2500 0.2500 0.2500
Cd 0.0000 0.0000 0.0000
Ta 0.7500 0.7500 0.7500
Ir 0.5000 0.5000 0.5000

---

Energy values (in eV/atom) by entry order: -4.349, -3.064, -3.008, -3.740, -4.650, -5.536.